Arrangement i

Compound: KTl5
Source: Alexandria via LeMat-Bulk
Functional: SCAN
Structure: PBEsol geometry

Computed properties:
N(E_F) in states/eV per atom: 0.502
Symmetry: No. 216

Cell and atoms, written as POSCAR:
```
KTl5
1.0
0.0000 4.5152 4.5152
4.5152 0.0000 4.5152
4.5152 4.5152 0.0000
K Tl
1 5
Direct
0.0000 0.0000 0.0000
0.1265 0.6245 0.6245
0.2500 0.2500 0.2500
0.6245 0.1265 0.6245
0.6245 0.6245 0.1265
0.6245 0.6245 0.6245
```



Arrangement ii

Compound: KTl5
Source: Alexandria via LeMat-Bulk
Functional: SCAN
Structure: PBEsol geometry

Computed properties:
N(E_F) in states/eV per atom: 0.509
Symmetry: No. 65

Cell and atoms, written as POSCAR:
```
KTl5
1.0
4.9466 0.0000 0.0000
0.0000 14.2807 0.0000
0.0000 0.0000 4.9105
K Tl
2 10
Direct
0.0000 0.0000 0.0000
0.5000 0.5000 0.0000
0.0000 0.1727 0.5000
0.0000 0.3264 0.0000
0.0000 0.5000 0.5000
0.0000 0.6736 0.0000
0.0000 0.8273 0.5000
0.5000 0.0000 0.5000
0.5000 0.1736 0.0000
0.5000 0.3273 0.5000
0.5000 0.6727 0.5000
0.5000 0.8264 0.0000
```



According to the calculations, the structures order from most to least stable as arrangement ii, arrangement i.



Arrangement i

Compound: KTlW
Source: Alexandria via LeMat-Bulk
Functional: SCAN
Structure: PBEsol geometry

Computed properties:
N(E_F) in states/eV per atom: 0.983
Symmetry: No. 216

Cell and atoms, written as POSCAR:
```
KTlW
1.0
7.2993 0.0000 0.0000
0.0000 7.2993 0.0000
0.0000 0.0000 7.2993
K Tl W
4 4 4
Direct
0.0000 0.0000 0.0000
0.0000 0.5000 0.5000
0.5000 0.0000 0.5000
0.5000 0.5000 0.0000
0.2500 0.2500 0.2500
0.2500 0.7500 0.7500
0.7500 0.2500 0.7500
0.7500 0.7500 0.2500
0.2500 0.2500 0.7500
0.2500 0.7500 0.2500
0.7500 0.2500 0.2500
0.7500 0.7500 0.7500
```



Arrangement ii

Compound: KTlW
Source: Alexandria via LeMat-Bulk
Functional: SCAN
Structure: PBEsol geometry

Computed properties:
N(E_F) in states/eV per atom: 0.836
Symmetry: No. 187

Cell and atoms, written as POSCAR:
```
KTlW
1.0
5.2830 0.0000 0.0000
-2.6415 4.5753 0.0000
0.0000 0.0000 2.8201
K Tl W
1 1 1
Direct
0.0000 0.0000 0.0000
0.3333 0.6667 0.5000
0.6667 0.3333 0.5000
```



Arrangement iii

Compound: KTlW
Source: Alexandria via LeMat-Bulk
Functional: SCAN
Structure: PBEsol geometry

Computed properties:
N(E_F) in states/eV per atom: 0.594
Symmetry: No. 42

Cell and atoms, written as POSCAR:
```
KTlW
1.0
3.6150 0.0000 0.0000
0.0000 4.4887 0.0000
0.0000 0.0000 16.5813
K Tl W
4 4 4
Direct
0.0000 0.0000 0.0000
0.0000 0.5000 0.5000
0.5000 0.0000 0.5000
0.5000 0.5000 0.0000
0.0000 0.0000 0.3223
0.0000 0.5000 0.8223
0.5000 0.0000 0.8223
0.5000 0.5000 0.3223
0.0000 0.0000 0.6783
0.0000 0.5000 0.1783
0.5000 0.0000 0.1783
0.5000 0.5000 0.6783
```



According to the calculations, the structures order from most to least stable as arrangement iii, arrangement ii, arrangement i.